# ZnInW | Alexandria | PBE-GGA | relaxed
# * formation energy from the elements: 3.07 eV per formula unit
# * energy: -0.1703 hartree per atom
# * energy above the most stable polymorph in this dataset: 0.5514 eV per atom
data_ZnInW
_chemical_formula_sum 'Zn4 In4 W4'
_space_group_name_H-M_alt 'F -4 3 m'
_space_group_IT_number 216
_space_group_name_Hall 'F -4 2 3'
_cell_length_a 6.1822
_cell_length_b 6.1822
_cell_length_c 6.1822
_cell_angle_alpha 90.00
_cell_angle_beta 90.00
_cell_angle_gamma 90.00
loop_
_atom_site_label
_atom_site_fract_x
_atom_site_fract_y
_atom_site_fract_z
Zn1 0.0000 0.0000 0.0000
In1 0.2500 0.2500 0.7500
W1 0.2500 0.2500 0.2500

# Ac3Cd2Co2 | Alexandria | PBE-GGA | relaxed
# * formation energy from the elements: -0.47 eV per formula unit
# * energy: -0.1514 hartree per atom
data_Ac3Cd2Co2
_chemical_formula_sum 'Ac3 Cd2 Co2'
_space_group_name_H-M_alt 'P -1'
_space_group_IT_number 2
_cell_length_a 4.1719
_cell_length_b 5.9393
_cell_length_c 9.5102
_cell_angle_alpha 76.63
_cell_angle_beta 77.44
_cell_angle_gamma 69.49
loop_
_space_group_symop_operation_xyz
'x,y,z'
'-x,-y,-z'
loop_
_atom_site_label
_atom_site_fract_x
_atom_site_fract_y
_atom_site_fract_z
Ac1 0.0000 0.0000 0.0000
Ac2 0.3789 0.5289 0.7147
Cd1 0.1448 0.1411 0.5704
Co1 0.2672 0.4406 0.0251

# Pa2TcAu | Alexandria | PBE-GGA | relaxed
# * formation energy from the elements: -0.48 eV per formula unit
# * energy: -0.3043 hartree per atom
# * energy above the most stable polymorph in this dataset: 0.1268 eV per atom
data_Pa2TcAu
_chemical_formula_sum 'Pa2 Tc1 Au1'
_space_group_name_H-M_alt 'P 4/m m m'
_space_group_IT_number 123
_space_group_name_Hall '-P 4 2'
_cell_length_a 4.4565
_cell_length_b 4.4565
_cell_length_c 4.2117
_cell_angle_alpha 90.00
_cell_angle_beta 90.00
_cell_angle_gamma 90.00
loop_
_atom_site_label
_atom_site_fract_x
_atom_site_fract_y
_atom_site_fract_z
Pa1 0.0000 0.5000 0.0000
Tc1 0.0000 0.0000 0.5000
Au1 0.5000 0.5000 0.5000

# InCuOs2 | Alexandria | PBE-GGA | relaxed
# * formation energy from the elements: 1.75 eV per formula unit
# * energy: -0.2530 hartree per atom
data_InCuOs2
_chemical_formula_sum 'In2 Cu2 Os4'
_space_group_name_H-M_alt 'C 1 m 1'
_space_group_IT_number 8
_cell_length_a 8.9063
_cell_length_b 2.8699
_cell_length_c 4.9206
_cell_angle_alpha 90.00
_cell_angle_beta 98.82
_cell_angle_gamma 90.00
loop_
_space_group_symop_operation_xyz
'x,y,z'
'x,-y,z'
'x+1/2,y+1/2,z'
'x+1/2,-y+1/2,z'
loop_
_atom_site_label
_atom_site_fract_x
_atom_site_fract_y
_atom_site_fract_z
In1 0.0000 0.0000 0.0000
Cu1 0.2544 0.5000 0.2236
Os1 0.0038 0.5000 0.4998
Os2 0.2459 0.0000 0.6803

# Sm4GeTe2Cl2 | Alexandria | PBE-GGA | relaxed
# * formation energy (no corrections): -136.9 kJ per mole of atoms
# * energy: -0.1888 hartree per atom
data_Sm4GeTe2Cl2
_chemical_formula_sum 'Sm8 Ge2 Te4 Cl4'
_space_group_name_H-M_alt 'C 1 2/m 1'
_space_group_IT_number 12
_cell_length_a 16.4298
_cell_length_b 4.2718
_cell_length_c 8.6456
_cell_angle_alpha 90.00
_cell_angle_beta 116.44
_cell_angle_gamma 90.00
loop_
_space_group_symop_operation_xyz
'x,y,z'
'-x,-y,-z'
'-x,y,-z'
'x,-y,z'
'x+1/2,y+1/2,z'
'-x+1/2,-y+1/2,-z'
'-x+1/2,y+1/2,-z'
'x+1/2,-y+1/2,z'
loop_
_atom_site_label
_atom_site_fract_x
_atom_site_fract_y
_atom_site_fract_z
Sm1 0.0183 0.0000 0.2950
Sm2 0.1982 0.5000 0.6937
Ge1 0.0000 0.5000 0.5000
Te1 0.1557 0.5000 0.2815
Cl1 0.1665 0.0000 0.9029

# Mo2Pt | Alexandria | PBE-GGA | relaxed
# * formation energy from the elements: -0.39 eV per formula unit
# * energy: -0.3442 hartree per atom
# * energy above the most stable polymorph in this dataset: 0.0328 eV per atom
data_Mo2Pt
_chemical_formula_sum 'Mo4 Pt2'
_space_group_name_H-M_alt 'I 4/m m m'
_space_group_IT_number 139
_space_group_name_Hall '-I 4 2'
_cell_length_a 2.7088
_cell_length_b 2.7088
_cell_length_c 12.8262
_cell_angle_alpha 90.00
_cell_angle_beta 90.00
_cell_angle_gamma 90.00
loop_
_atom_site_label
_atom_site_fract_x
_atom_site_fract_y
_atom_site_fract_z
Mo1 0.0000 0.0000 0.1625
Pt1 0.0000 0.0000 0.5000

# ReAs2Pt | Alexandria | PBE-GGA | relaxed
# * formation energy from the elements: 0.56 eV per formula unit
# * energy: -0.2501 hartree per atom
# * energy above the most stable polymorph in this dataset: 0.0468 eV per atom
data_ReAs2Pt
_chemical_formula_sum 'Re1 As2 Pt1'
_space_group_name_H-M_alt 'P 1 m 1'
_space_group_IT_number 6
_cell_length_a 2.7618
_cell_length_b 4.0192
_cell_length_c 7.1279
_cell_angle_alpha 90.00
_cell_angle_beta 100.13
_cell_angle_gamma 90.00
loop_
_space_group_symop_operation_xyz
'x,y,z'
'x,-y,z'
loop_
_atom_site_label
_atom_site_fract_x
_atom_site_fract_y
_atom_site_fract_z
Re1 0.0000 0.0000 0.0000
As1 0.8906 0.0000 0.6348
As2 0.9443 0.5000 0.2088
Pt1 0.4137 0.5000 0.8077

# Na3CdC | Alexandria | PBE-GGA | relaxed
# * formation energy from the elements: 7.06 eV per formula unit
# * energy: -0.0517 hartree per atom
# * energy above the most stable polymorph in this dataset: 0.6630 eV per atom
data_Na3CdC
_chemical_formula_sum 'Na3 Cd1 C1'
_space_group_name_H-M_alt 'P m -3 m'
_space_group_IT_number 221
_space_group_name_Hall '-P 4 2 3'
_cell_length_a 5.7658
_cell_length_b 5.7658
_cell_length_c 5.7658
_cell_angle_alpha 90.00
_cell_angle_beta 90.00
_cell_angle_gamma 90.00
loop_
_atom_site_label
_atom_site_fract_x
_atom_site_fract_y
_atom_site_fract_z
Na1 0.0000 0.0000 0.5000
Cd1 0.0000 0.0000 0.0000
C1 0.5000 0.5000 0.5000

# Co2HgW | Alexandria | PBE-GGA | relaxed
# * formation energy from the elements: 2.12 eV per formula unit
# * energy: -0.2329 hartree per atom
data_Co2HgW
_chemical_formula_sum 'Co2 Hg1 W1'
_space_group_name_H-M_alt 'P 4/m m m'
_space_group_IT_number 123
_space_group_name_Hall '-P 4 2'
_cell_length_a 4.4664
_cell_length_b 4.4664
_cell_length_c 2.8662
_cell_angle_alpha 90.00
_cell_angle_beta 90.00
_cell_angle_gamma 90.00
loop_
_atom_site_label
_atom_site_fract_x
_atom_site_fract_y
_atom_site_fract_z
Co1 0.0000 0.5000 0.0000
Hg1 0.0000 0.0000 0.5000
W1 0.5000 0.5000 0.5000

# Na2LaTaPd | Alexandria | PBE-GGA | relaxed
# * formation energy from the elements: 8.37 eV per formula unit
# * energy: -0.1194 hartree per atom
# * energy above the most stable polymorph in this dataset: 1.0514 eV per atom
data_Na2LaTaPd
_chemical_formula_sum 'Na2 La1 Ta1 Pd1'
_space_group_name_H-M_alt 'P 4/m m m'
_space_group_IT_number 123
_space_group_name_Hall '-P 4 2'
_cell_length_a 5.4222
_cell_length_b 5.4222
_cell_length_c 4.9236
_cell_angle_alpha 90.00
_cell_angle_beta 90.00
_cell_angle_gamma 90.00
loop_
_atom_site_label
_atom_site_fract_x
_atom_site_fract_y
_atom_site_fract_z
Na1 0.0000 0.5000 0.0000
La1 0.0000 0.0000 0.0000
Ta1 0.5000 0.5000 0.5000
Pd1 0.0000 0.0000 0.5000